6
Lattice="0.000 3.677 3.677 3.677 0.000 3.677 3.677 3.677 0.000" Properties=species:S:1:pos:R:3 comment="PBE InOs4Pt, relaxed" delta_e_f_kj_per_mol_fu=448 final_energy_ev_per_atom=-8.18 pbc="T T T"
In 0.000 0.000 0.000
Os 2.763 2.763 2.763
Os 4.590 2.763 4.590
Os 4.590 4.590 2.763
Os 2.763 4.590 4.590
Pt 5.515 5.515 5.515

=====

4
Lattice="-0.763 -0.818 2.688 2.373 -1.680 0.162 4.015 5.954 2.952" Properties=species:S:1:pos:R:3 comment="PBE InOsPt2, relaxed" delta_e_f_kj_per_mol_fu=47 final_energy_ev_per_atom=-6.39 relative_energy_mev_per_atom=68.6 pbc="T T T"
In 2.011 2.982 1.478
Os 3.888 3.323 3.692
Pt 3.966 5.881 2.915
Pt 1.783 0.201 2.144